Here is crystalline CdCu3Au at its relaxed geometry from Alexandria via LeMat-Bulk. Energies are from PBE.

- N(E_F): 2.5 states/eV per cell
- Calculated density: 7588 kg/m3
- Space-group type: Pm-3m (221)
- Excess energy over the best structure of this formula in the dataset: 0.000 eV per atom
- E_tot: -2.624 eV per atom

abc: 4.7830 4.7830 4.7830
angles: 90.00 90.00 90.00
With the nearest neighbours (Å) after each atom.
Fractional coordinates of all 5 atoms:
Cd  0.0000  0.0000  0.0000  12 Cu 3.38
Cu  0.0000  0.5000  0.5000  2 Au 2.39
Cu  0.5000  0.0000  0.5000  2 Au 2.39
Cu  0.5000  0.5000  0.0000  2 Au 2.39
Au  0.5000  0.5000  0.5000  6 Cu 2.39

=====

Here is crystalline Ce2Ho5Pt4 at its relaxed geometry from Alexandria via LeMat-Bulk. Energies are from PBE.

- N(E_F): 15.3 states/eV per cell
- Calculated density: 10610 kg/m3
- Space-group type: C2/m (12)
- E_tot: -6.094 eV per atom

abc: 11.7806 11.7806 6.8243
angles: 96.24 96.24 18.27
With the nearest neighbours (Å) after each atom.
Fractional coordinates of all 11 atoms:
Ce  0.2282  0.2282  0.2445  3 Pt 2.90-3.07
Ce  0.7718  0.7718  0.7555  3 Pt 2.90-3.07
Ho  0.0000  0.0000  0.0000  4 Pt 2.83
Ho  0.3715  0.3715  0.0990  3 Pt 2.74-2.90
Ho  0.3974  0.3974  0.5980  4 Pt 2.85-2.97
Ho  0.6026  0.6026  0.4020  4 Pt 2.85-2.97
Ho  0.6285  0.6285  0.9010  3 Pt 2.74-2.90
Pt  0.1785  0.1785  0.6431  4 Ho 2.90-2.95, 3 Ce 2.90-3.07
Pt  0.4807  0.4807  0.2971  5 Ho 2.74-2.97, 1 Pt 2.81
Pt  0.5193  0.5193  0.7029  5 Ho 2.74-2.97, 1 Pt 2.81
Pt  0.8215  0.8215  0.3569  4 Ho 2.90-2.95, 3 Ce 2.90-3.07

=====

Here is crystalline SrHg2W at its relaxed geometry from Alexandria via LeMat-Bulk. Energies are from PBE.

- N(E_F): 3.3 states/eV per cell
- Calculated density: 11500 kg/m3
- Space-group type: Fm-3m (225)
- Excess energy over the best structure of this formula in the dataset: 0.149 eV per atom
- E_tot: -3.132 eV per atom

abc: 5.1596 5.1596 5.1596
angles: 60.00 60.00 60.00
With the nearest neighbours (Å) after each atom.
Fractional coordinates of all 4 atoms:
Sr  0.0000  0.0000  0.0000  8 Hg 3.16
Hg  0.2500  0.2500  0.2500  4 W 3.16, 4 Sr 3.16
Hg  0.7500  0.7500  0.7500  4 Sr 3.16, 4 W 3.16
W  0.5000  0.5000  0.5000  8 Hg 3.16

=====

Here is crystalline La2Pr6Sc at its relaxed geometry from Alexandria via LeMat-Bulk. Energies are from PBE.

- N(E_F): 14.3 states/eV per cell
- Calculated density: 5960 kg/m3
- Space-group type: Cmmm (65)
- Excess energy over the best structure of this formula in the dataset: 0.129 eV per atom
- E_tot: -4.780 eV per atom

abc: 8.4714 8.4714 5.5507
angles: 90.00 90.00 125.20
With the nearest neighbours (Å) after each atom.
Fractional coordinates of all 9 atoms:
La  0.2298  0.7702  0.0000  10 Pr 3.78-4.01, 2 La 3.95
La  0.7702  0.2298  0.0000  10 Pr 3.78-4.01, 2 La 3.95
Pr  0.1412  0.4243  0.5000  1 Sc 3.06, 2 Pr 3.30-3.39
Pr  0.2609  0.2609  0.0000  2 Sc 3.44, 5 Pr 3.50-3.73
Pr  0.4243  0.1412  0.5000  1 Sc 3.06, 2 Pr 3.30-3.39
Pr  0.5757  0.8588  0.5000  1 Sc 3.06, 2 Pr 3.30-3.39
Pr  0.7391  0.7391  0.0000  2 Sc 3.44, 5 Pr 3.50-3.73
Pr  0.8588  0.5757  0.5000  1 Sc 3.06, 2 Pr 3.30-3.39
Sc  0.0000  0.0000  0.5000  4 Pr 3.06

=====

Here is crystalline CaFeNi2 at its relaxed geometry from Alexandria via LeMat-Bulk. Energies are from PBE.

- N(E_F): 4.0 states/eV per cell
- Calculated density: 5603 kg/m3
- Space-group type: P4mm (99)
- E_tot: -5.267 eV per atom

abc: 3.1160 3.1160 6.5116
angles: 90.00 90.00 90.00
With the nearest neighbours (Å) after each atom.
Fractional coordinates of all 4 atoms:
Ca  0.0000  0.0000  0.0000  6 Ni 2.92-3.26, 4 Ca 3.12, 4 Fe 3.16
Fe  0.5000  0.5000  0.3482  5 Ni 2.33-2.42
Ni  0.0000  0.0000  0.5013  4 Fe 2.42, 4 Ni 2.57
Ni  0.5000  0.5000  0.7057  1 Fe 2.33, 4 Ni 2.57

=====

Here is crystalline CsTl6In2 at its relaxed geometry from Alexandria via LeMat-Bulk. Energies are from PBE.

- N(E_F): 4.0 states/eV per cell
- Calculated density: 8519 kg/m3
- Space-group type: P4/mmm (123)
- Excess energy over the best structure of this formula in the dataset: 0.000 eV per atom
- E_tot: -2.304 eV per atom

abc: 5.4986 5.4986 10.2432
angles: 90.00 90.00 90.00
With the nearest neighbours (Å) after each atom.
Fractional coordinates of all 9 atoms:
Cs  0.0000  0.0000  0.0000  8 Tl 4.16, 8 In 4.18
Tl  0.0000  0.0000  0.5000  8 Tl 3.40
Tl  0.0000  0.5000  0.3052  2 In 3.18, 4 Tl 3.40
Tl  0.0000  0.5000  0.6948  2 In 3.18, 4 Tl 3.40
Tl  0.5000  0.0000  0.3052  2 In 3.18, 4 Tl 3.40
Tl  0.5000  0.0000  0.6948  2 In 3.18, 4 Tl 3.40
Tl  0.5000  0.5000  0.5000  8 Tl 3.40, 2 In 3.58
In  0.5000  0.5000  0.1500  1 In 3.07, 4 Tl 3.18
In  0.5000  0.5000  0.8500  1 In 3.07, 4 Tl 3.18

=====

Here is crystalline InGe2Te2 at its relaxed geometry from Alexandria via LeMat-Bulk. Energies are from PBE.

- N(E_F): 4.1 states/eV per cell
- Calculated density: 5983 kg/m3
- Space-group type: P4/mbm (127)
- Excess energy over the best structure of this formula in the dataset: 0.098 eV per atom
- Formation energy (no corrections): 0.147 eV/atom
- E_tot: -3.505 eV per atom

abc: 8.5763 8.5763 3.8887
angles: 90.00 90.00 90.00
With the nearest neighbours (Å) after each atom.
Fractional coordinates of all 10 atoms:
In  0.0000  0.0000  0.0000  4 Te 3.23
In  0.5000  0.5000  0.0000  4 Te 3.23
Ge  0.1774  0.3226  0.5000  2 Te 2.79
Ge  0.3226  0.8226  0.5000  2 Te 2.79
Ge  0.6774  0.1774  0.5000  2 Te 2.79
Ge  0.8226  0.6774  0.5000  2 Te 2.79
Te  0.1573  0.6573  0.0000  2 Ge 2.79
Te  0.3427  0.1573  0.0000  2 Ge 2.79
Te  0.6573  0.8427  0.0000  2 Ge 2.79
Te  0.8427  0.3427  0.0000  2 Ge 2.79

=====

Here is crystalline SmSbO4 at its relaxed geometry from Alexandria via LeMat-Bulk. Energies are from PBE.

- N(E_F): 0.0 states/eV per cell
- Calculated density: 6829 kg/m3
- Space-group type: I4_1/a (88)
- Formation energy (no corrections): -2.313 eV/atom
- E_tot: -7.092 eV per atom

abc: 6.8585 6.8585 6.8585
angles: 134.14 134.14 66.86
With the nearest neighbours (Å) after each atom.
Fractional coordinates of all 12 atoms:
Sm  0.3750  0.1250  0.2500  8 O 2.40-2.47
Sm  0.6250  0.8750  0.7500  8 O 2.40-2.47
Sb  0.1250  0.3750  0.7500  4 O 1.92
Sb  0.8750  0.6250  0.2500  4 O 1.92
O  0.0368  0.2116  0.3228  1 Sb 1.92
O  0.2140  0.5368  0.3252  1 Sb 1.92
O  0.2884  0.1112  0.8252  1 Sb 1.92
O  0.3888  0.7140  0.1772  1 Sb 1.92
O  0.6112  0.2860  0.8228  1 Sb 1.92
O  0.7116  0.8888  0.1748  1 Sb 1.92
O  0.7860  0.4632  0.6748  1 Sb 1.92
O  0.9632  0.7884  0.6772  1 Sb 1.92